First-principles (GGA+U) data for a geometry-optimized CrGa2O4 structure, as listed in the Alexandria database.

DFT total energy: -6.52 eV/atom

Lattice parameters (Å, degrees): 5.876 6.092 6.092 58.67 61.16 61.16
Fractional positions:
1 O 0.267 0.241 0.224
2 O 0.733 0.276 0.259
3 O 0.748 0.237 0.737
4 O 0.267 0.724 0.741
5 O 0.722 0.763 0.263
6 O 0.278 0.237 0.737
7 O 0.252 0.763 0.263
8 O 0.733 0.759 0.776
9 Cr 0.000 0.500 0.000
10 Cr 0.500 0.500 0.000
11 Ga 0.500 0.000 0.000
12 Ga 0.500 0.500 0.500
13 Ga 0.859 0.891 0.391
14 Ga 0.141 0.109 0.609